No. 1
Compound: Pm2NdSc
Source: Alexandria
Functional: PBE
Structure: relaxed

Computed properties:
- space-group type = No. 166
- energy relative to the lowest polymorph listed for this composition (eV per formula unit) = 0.557

Geometry as POSCAR:
```
Pm2NdSc
1.0
3.481 0.000 0.000
1.741 3.015 0.000
1.741 1.005 12.337
Sc Nd Pm
1 1 2
direct
0.500 0.500 0.500
0.000 0.000 0.000
0.093 0.093 0.722
0.907 0.907 0.278
```

---

No. 2
Compound: Pm5Nd3Sc
Source: Alexandria
Functional: PBE
Structure: relaxed

Computed properties:
- space-group type = No. 12
- DFT total energy (eV/f.u.) = -40.79

Geometry as POSCAR:
```
Pm5Nd3Sc
1.0
9.328 1.841 -1.028
4.324 8.468 -1.028
2.843 2.147 8.670
Pm Nd Sc
10 6 2
direct
0.865 0.448 0.412
0.323 0.677 0.000
0.691 0.691 0.067
0.499 0.499 0.326
0.501 0.501 0.674
0.309 0.309 0.933
0.448 0.865 0.412
0.677 0.323 0.000
0.135 0.552 0.588
0.552 0.135 0.588
0.698 0.698 0.713
0.844 0.844 0.283
0.000 0.000 0.000
0.000 0.000 0.500
0.302 0.302 0.287
0.156 0.156 0.717
0.871 0.871 0.841
0.129 0.129 0.159
```